No. 1
Crystalline NdGd2Er at its relaxed geometry, computed with GGA-PBE.

a b c (Å): 5.7028 5.7028 5.7028
angles (deg): 60.00 60.00 60.00
Positions (direct):
Nd 0.0000 0.0000 0.0000
Gd 0.2500 0.2500 0.2500
Gd 0.7500 0.7500 0.7500
Er 0.5000 0.5000 0.5000

Summary:
Total magnetic moment in μB/atom: 4.08
Formation enthalpy at 0 K in eV/atom: 0.0937
SG: No. 225
Distance to the lowest polymorph of the same formula in eV per atom: 0.072


No. 2
Crystalline NdGd2Er at its relaxed geometry, computed with GGA-PBE.

a b c (Å): 11.8987 11.8987 11.8987
angles (deg): 17.34 17.34 17.34
Positions (direct):
Nd 0.0000 0.0000 0.0000
Gd 0.2484 0.2484 0.2484
Gd 0.7516 0.7516 0.7516
Er 0.5000 0.5000 0.5000

Summary:
Total magnetic moment in μB/atom: 3.65
Formation enthalpy at 0 K in eV/atom: 0.0264
SG: No. 166
Distance to the lowest polymorph of the same formula in eV per atom: 0.005


No. 3
Crystalline NdGdEr at its relaxed geometry, computed with GGA-PBE.

a b c (Å): 6.4323 6.4323 6.4323
angles (deg): 142.17 142.17 54.57
Positions (direct):
Nd 0.0000 0.0000 0.0000
Gd 0.6752 0.6752 0.0000
Er 0.3315 0.3315 0.0000

Summary:
Total magnetic moment in μB/atom: 2.68
Formation enthalpy at 0 K in eV/atom: 0.0984
SG: No. 107
Distance to the lowest polymorph of the same formula in eV per atom: 0.034